(1)
La4Tb5Er: optimized geometry, PBE.

Cell: 8.803 8.803 11.461 Å, 90.17 90.17 23.33°
Element x y z (fractional)
La 0.032 0.032 0.249
La 0.338 0.338 0.250
La 0.662 0.662 0.750
La 0.968 0.968 0.751
Tb 0.172 0.172 0.048
Tb 0.173 0.173 0.450
Tb 0.500 0.500 0.500
Tb 0.827 0.827 0.550
Tb 0.828 0.828 0.952
Er 0.500 0.500 0.000

Results
Energy relative to the elements, eV per atom: 0.19
Distance to the lowest polymorph of the same formula, eV per formula unit: 0.000


(2)
Ba2LiSbSe4: optimized geometry, PBE.

Cell: 8.797 8.797 8.797 Å, 120.83 118.32 90.76°
Element x y z (fractional)
Ba 0.000 0.000 0.000
Ba 0.500 0.000 0.000
Ba 0.500 0.000 0.500
Ba 0.500 0.500 0.500
Li 0.000 0.500 0.500
Li 0.500 0.500 0.000
Sb 0.000 0.000 0.500
Sb 0.000 0.500 0.000
Se 0.211 0.736 0.475
Se 0.237 0.257 0.520
Se 0.237 0.718 0.980
Se 0.239 0.264 0.975
Se 0.761 0.736 0.025
Se 0.763 0.282 0.020
Se 0.763 0.743 0.480
Se 0.789 0.264 0.525

Results
Formation energy from raw total energies, eV per atom: -1.244


(3)
Pm3DyTm3Te8: optimized geometry, PBE.

Cell: 8.755 8.755 8.755 Å, 59.70 59.70 59.70°
Element x y z (fractional)
Pm 0.000 0.500 0.500
Pm 0.500 0.000 0.500
Pm 0.500 0.500 0.000
Dy 0.500 0.500 0.500
Tm 0.000 0.000 0.500
Tm 0.000 0.500 0.000
Tm 0.500 0.000 0.000
Te 0.237 0.754 0.754
Te 0.246 0.246 0.246
Te 0.246 0.246 0.763
Te 0.246 0.763 0.246
Te 0.754 0.237 0.754
Te 0.754 0.754 0.237
Te 0.754 0.754 0.754
Te 0.763 0.246 0.246

Results
Formation energy from raw total energies, eV per atom: -1.368


(4)
Nd3SmAs4: optimized geometry, PBE.

Cell: 8.517 12.040 4.261 Å, 90.00 90.00 90.00°
Element x y z (fractional)
Nd 0.000 0.000 0.000
Nd 0.250 0.250 0.500
Nd 0.250 0.750 0.500
Nd 0.500 0.500 0.000
Nd 0.750 0.250 0.500
Nd 0.750 0.750 0.500
Sm 0.000 0.500 0.000
Sm 0.500 0.000 0.000
As 0.000 0.251 0.000
As 0.000 0.749 0.000
As 0.248 0.500 0.500
As 0.252 0.000 0.500
As 0.500 0.249 0.000
As 0.500 0.751 0.000
As 0.748 0.000 0.500
As 0.752 0.500 0.500

Results
Energy relative to the elements, eV per atom: -1.52
Distance to the lowest polymorph of the same formula, eV per formula unit: 0.019


(5)
Ni2PCl: optimized geometry, PBE.

Cell: 3.013 6.912 6.950 Å, 90.00 90.00 90.00°
Element x y z (fractional)
Ni 0.000 0.220 0.000
Ni 0.000 0.780 0.000
Ni 0.500 0.280 0.500
Ni 0.500 0.720 0.500
P 0.000 0.500 0.500
P 0.500 0.000 0.000
Cl 0.000 0.000 0.500
Cl 0.500 0.500 0.000

Results
Formation energy from raw total energies, eV per atom: 0.059
Distance to the lowest polymorph of the same formula, eV per formula unit: 1.513


(6)
TmVRuRh: optimized geometry, PBE.

Cell: 6.396 6.396 6.396 Å, 90.00 90.00 90.00°
Element x y z (fractional)
Tm 0.000 0.000 0.000
Tm 0.000 0.500 0.500
Tm 0.500 0.000 0.500
Tm 0.500 0.500 0.000
V 0.000 0.000 0.500
V 0.000 0.500 0.000
V 0.500 0.000 0.000
V 0.500 0.500 0.500
Ru 0.250 0.250 0.250
Ru 0.250 0.750 0.750
Ru 0.750 0.250 0.750
Ru 0.750 0.750 0.250
Rh 0.250 0.250 0.750
Rh 0.250 0.750 0.250
Rh 0.750 0.250 0.250
Rh 0.750 0.750 0.750

Results
Energy relative to the elements, eV per atom: -0.34


no.,total magnetic moment (Bohr magnetons per cell)
1,0.00
2,0.00
3,0.00
4,0.00
5,0.00
6,4.59